Record 1
Compound: PmEr12Tl3
Source: Alexandria
Functional: PBE
Structure: optimized geometry

Calculated values
DOS(E_F): 1.215 states/eV/atom
Electronic total energy: -4.278 eV per atom
E_form: -115 meV/atom
Space group: No. 123

abc: 4.830 4.830 19.737
angles: 90.00 90.00 90.00
Atoms (fractional coordinates):
Pm1 0.000 0.000 0.000
Er1 0.500 0.500 0.000
Er2 0.500 0.500 0.256
Er3 0.500 0.500 0.500
Er4 0.500 0.500 0.744
Er5 0.500 0.000 0.131
Er6 0.500 0.000 0.378
Er7 0.500 0.000 0.622
Er8 0.500 0.000 0.869
Er9 0.000 0.500 0.131
Er10 0.000 0.500 0.378
Er11 0.000 0.500 0.622
Er12 0.000 0.500 0.869
Tl1 0.000 0.000 0.257
Tl2 0.000 0.000 0.500
Tl3 0.000 0.000 0.743


Record 2
Compound: TiCr2Se4
Source: Alexandria
Functional: PBE
Structure: optimized geometry

Calculated values
DOS(E_F): 0.421 states/eV/atom
Electronic total energy: -6.589 eV per atom
Formation energy from raw total energies: -720 meV/atom
Space group: No. 12
ΔE to the lowest computed polymorph: 0.000 eV per atom

abc: 6.986 6.986 6.513
angles: 62.64 62.64 30.20
Atoms (fractional coordinates):
Ti1 0.000 0.000 0.000
Cr1 0.260 0.260 0.723
Cr2 0.740 0.740 0.277
Se1 0.125 0.125 0.552
Se2 0.875 0.875 0.448
Se3 0.367 0.367 0.970
Se4 0.633 0.633 0.030


Record 3
Compound: CrMoC2
Source: Alexandria
Functional: PBE
Structure: optimized geometry

Calculated values
DOS(E_F): 0.557 states/eV/atom
Electronic total energy: -9.026 eV per atom
E_form: 700 meV/atom
Space group: No. 225
ΔE to the lowest computed polymorph: 0.629 eV per atom

abc: 3.719 3.719 3.719
angles: 60.00 60.00 60.00
Atoms (fractional coordinates):
Cr1 0.000 0.000 0.000
Mo1 0.500 0.500 0.500
C1 0.250 0.250 0.250
C2 0.750 0.750 0.750


Record 4
Compound: Sc5Sb2
Source: Alexandria
Functional: PBE
Structure: optimized geometry

Calculated values
DOS(E_F): 1.129 states/eV/atom
Electronic total energy: -6.357 eV per atom
Formation energy from raw total energies: -657 meV/atom
Space group: No. 63
ΔE to the lowest computed polymorph: 0.000 eV per atom

abc: 4.258 4.238 18.385
angles: 90.00 96.65 90.00
Atoms (fractional coordinates):
Sc1 0.966 0.250 0.931
Sc2 0.034 0.750 0.069
Sc3 0.535 0.250 0.070
Sc4 0.465 0.750 0.930
Sc5 0.750 0.250 0.500
Sc6 0.250 0.750 0.500
Sc7 0.176 0.250 0.353
Sc8 0.824 0.750 0.647
Sc9 0.390 0.250 0.781
Sc10 0.610 0.750 0.219
Sb1 0.095 0.250 0.190
Sb2 0.905 0.750 0.810
Sb3 0.310 0.250 0.620
Sb4 0.690 0.750 0.380